1.
AlInH2 PBE-GGA optimized geometry; E above lowest polymorph = 315 meV/atom
1.0
0.0000 2.9576 2.9576
2.9576 0.0000 2.9576
2.9576 2.9576 0.0000
Al In H
1 1 2
Direct
0.0000 0.0000 0.0000 Al
0.5000 0.5000 0.5000 In
0.2500 0.2500 0.2500 H
0.7500 0.7500 0.7500 H



2.
AgAsPb PBE-GGA optimized geometry; calculated formation energy = 36 meV/atom; E above lowest polymorph = 0 meV/atom
1.0
7.4095 0.0000 0.0000
0.0000 4.5124 0.0000
-0.2548 0.0000 12.6794
Ag As Pb
6 6 6
Direct
0.0046 0.2500 0.4142 Ag
0.1396 0.2500 0.0439 Ag
0.3475 0.7500 0.7101 Ag
0.6525 0.2500 0.2899 Ag
0.8604 0.7500 0.9561 Ag
0.9954 0.7500 0.5858 Ag
0.2378 0.2500 0.5895 As
0.2399 0.7500 0.9244 As
0.2684 0.2500 0.2537 As
0.7316 0.7500 0.7463 As
0.7601 0.2500 0.0756 As
0.7622 0.7500 0.4105 As
0.0226 0.2500 0.7913 Pb
0.3509 0.7500 0.4155 Pb
0.4758 0.7500 0.1213 Pb
0.5242 0.2500 0.8787 Pb
0.6491 0.2500 0.5845 Pb
0.9774 0.7500 0.2087 Pb



Calculated Fermi-level density of states in order - 0.95, 6.08 states/eV/cell